[1]
An optimized crystal structure of CsTlF3, computed with PBE.

Properties
Raw formation energy ... -2.030 eV/atom
E_tot ... -3.80 eV/atom

a b c (Å): 8.978 8.978 5.805
angles (deg): 90.00 90.00 137.68
Atoms (fractional coordinates):
Cs1 0.331 0.669 0.250
Cs2 0.669 0.331 0.750
Tl1 0.103 0.897 0.250
Tl2 0.897 0.103 0.750
F1 0.924 0.548 0.250
F2 0.452 0.076 0.250
F3 0.548 0.924 0.750
F4 0.076 0.452 0.750
F5 0.000 0.000 0.000
F6 0.000 0.000 0.500


[2]
An optimized crystal structure of K2TeMoRu, computed with PBE.

Properties
Raw formation energy ... 1.288 eV/atom
E_tot ... -3.80 eV/atom

a b c (Å): 6.613 4.942 6.613
angles (deg): 90.00 90.00 90.00
Atoms (fractional coordinates):
Ru1 0.000 0.500 0.000
Mo1 0.500 0.500 0.500
Te1 0.000 0.000 0.000
K1 0.000 0.000 0.500
K2 0.500 0.000 0.000


[3]
An optimized crystal structure of Nd8Dy2Cd, computed with PBE.

Properties
Formation energy from the elements ... -0.020 eV per atom
E_tot ... -4.41 eV/atom

a b c (Å): 5.102 8.077 9.527
angles (deg): 104.81 105.53 90.00
Atoms (fractional coordinates):
Nd1 0.409 0.555 0.819
Nd2 0.680 0.910 0.360
Nd3 0.863 0.819 0.727
Nd4 0.955 0.275 0.909
Nd5 0.137 0.181 0.273
Nd6 0.320 0.090 0.640
Nd7 0.591 0.445 0.181
Nd8 0.045 0.725 0.091
Dy1 0.775 0.366 0.550
Dy2 0.225 0.634 0.450
Cd1 0.500 0.000 0.000


[4]
An optimized crystal structure of BaCd2Au2, computed with PBE.

Properties
Formation energy from the elements ... -0.511 eV per atom
E_tot ... -2.57 eV/atom

a b c (Å): 4.532 4.532 7.234
angles (deg): 71.75 71.75 90.00
Atoms (fractional coordinates):
Au1 0.391 0.391 0.219
Au2 0.609 0.609 0.781
Ba1 0.000 0.000 0.000
Cd1 0.750 0.250 0.500
Cd2 0.250 0.750 0.500


[5]
An optimized crystal structure of LaMn3As3, computed with PBE.

Properties
Formation energy from the elements ... -0.162 eV per atom
E_tot ... -6.79 eV/atom

a b c (Å): 6.621 6.621 6.621
angles (deg): 90.00 90.00 90.00
Atoms (fractional coordinates):
As1 0.000 0.250 0.500
As2 0.000 0.750 0.500
As3 0.500 0.000 0.750
As4 0.750 0.500 0.000
As5 0.500 0.000 0.250
As6 0.250 0.500 0.000
Mn1 0.250 0.000 0.500
Mn2 0.000 0.500 0.250
Mn3 0.500 0.750 0.000
Mn4 0.750 0.000 0.500
Mn5 0.000 0.500 0.750
Mn6 0.500 0.250 0.000
La1 0.500 0.500 0.500
La2 0.000 0.000 0.000


[6]
An optimized crystal structure of Ac2GeP3Pt4, computed with PBE.

Properties
Formation energy from the elements ... -0.961 eV per atom
E_tot ... -6.28 eV/atom

a b c (Å): 4.407 4.407 9.990
angles (deg): 90.00 90.00 90.00
Atoms (fractional coordinates):
Ac1 0.500 0.000 0.248
Ac2 0.000 0.500 0.752
Ge1 0.500 0.500 0.500
P1 0.000 0.000 0.500
P2 0.500 0.000 0.870
P3 0.000 0.500 0.130
Pt1 0.500 0.500 0.000
Pt2 0.000 0.000 0.000
Pt3 0.500 0.000 0.624
Pt4 0.000 0.500 0.376


[7]
An optimized crystal structure of NbCrIN2, computed with PBE.

Properties
Raw formation energy ... 1.099 eV/atom
E_tot ... -6.48 eV/atom

a b c (Å): 3.890 3.890 5.367
angles (deg): 90.00 90.00 90.00
Atoms (fractional coordinates):
I1 0.000 0.000 0.500
Cr1 0.000 0.000 0.000
Nb1 0.500 0.500 0.500
N1 0.000 0.500 0.000
N2 0.500 0.000 0.000


[8]
An optimized crystal structure of PbSe2Br, computed with PBE.

Properties
Raw formation energy ... 0.236 eV/atom
E_tot ... -2.85 eV/atom

a b c (Å): 5.222 5.222 5.222
angles (deg): 60.00 60.00 60.00
Atoms (fractional coordinates):
Pb1 0.500 0.500 0.500
Se1 0.250 0.250 0.250
Se2 0.750 0.750 0.750
Br1 0.000 0.000 0.000


Going through the records in order, we get M_tot values of 0.0 6.8 0.0 0.0 7.6 0.0 3.2 0.0 μB per formula unit.